Record 1
Here is KCaCo2 after structural relaxation from the Alexandria database. Energies are from GGA-PBE.

Unit cell a=4.881 b=4.881 c=4.881 alpha=120.11 beta=120.11 gamma=89.81
Fractional coordinates of all 4 atoms:
Co 0.000 0.000 0.000
Co 0.250 0.750 0.500
K 0.500 0.500 0.000
Ca 0.750 0.250 0.500

Results
Energy above the lowest structure with this stoichiometry   638 meV/atom
Uncorrected energy   -3.365 eV per atom
Energy of formation   0.9624 eV/atom



Record 2
Here is Sr2MoRhCl after structural relaxation from the Alexandria database. Energies are from GGA-PBE.

Unit cell a=6.105 b=6.105 c=4.524 alpha=90.00 beta=90.00 gamma=90.00
Fractional coordinates of all 5 atoms:
Cl 0.500 0.500 0.500
Sr 0.000 0.500 0.000
Sr 0.500 0.000 0.000
Rh 0.000 0.000 0.500
Mo 0.000 0.000 0.000

Results
Formation energy (no corrections)   0.9 eV/f.u.
Uncorrected energy   -4.500 eV per atom